[1]
Computed, not measured: an optimized crystal structure of LaIr2Ru at the GGA-PBEsol level of DFT.

Cell: 9.8316 9.8316 9.8316 Å, 16.39 16.39 16.39°
Fractional positions:
La (0.0000, 0.0000, 0.0000)
Ir (0.2394, 0.2394, 0.2394)
Ir (0.7606, 0.7606, 0.7606)
Ru (0.5000, 0.5000, 0.5000)

Total moment, μB/cell: 0.000
Energy of formation from the pure elements, kJ per mole of atoms: 31
Relative energy among the computed polymorphs, meV/atom: 280

---

[2]
Computed, not measured: an optimized crystal structure of RePBr at the GGA-PBEsol level of DFT.

Cell: 4.1786 4.1786 4.1786 Å, 60.00 60.00 60.00°
Fractional positions:
Re (0.0000, 0.0000, 0.0000)
P (0.2500, 0.2500, 0.2500)
Br (0.5000, 0.5000, 0.5000)

Total moment, μB/cell: 0.000
Formation energy without anion corrections, meV/atom: 1324

---

[3]
Computed, not measured: an optimized crystal structure of TcMo2Ru at the GGA-PBEsol level of DFT.

Cell: 4.3514 4.3514 4.3514 Å, 60.00 60.00 60.00°
Fractional positions:
Tc (0.0000, 0.0000, 0.0000)
Mo (0.2500, 0.2500, 0.2500)
Mo (0.7500, 0.7500, 0.7500)
Ru (0.5000, 0.5000, 0.5000)

Total moment, μB/cell: 0.001
Energy of formation from the pure elements, kJ per mole of atoms: 22
Relative energy among the computed polymorphs, meV/atom: 21

---

[4]
Computed, not measured: an optimized crystal structure of K2ScPCO7 at the GGA-PBEsol level of DFT.

Cell: 5.6391 6.8181 9.7645 Å, 90.00 90.63 90.00°
Fractional positions:
K (0.2496, 0.0191, 0.2276)
K (0.2496, 0.4809, 0.2276)
K (0.7504, 0.5191, 0.7724)
K (0.7504, 0.9809, 0.7724)
Sc (0.2847, 0.2500, 0.6330)
Sc (0.7153, 0.7500, 0.3670)
P (0.2225, 0.7500, 0.5641)
P (0.7775, 0.2500, 0.4359)
C (0.2368, 0.2500, 0.8945)
C (0.7632, 0.7500, 0.1055)
O (0.0485, 0.2500, 0.4712)
O (0.0590, 0.2500, 0.8049)
O (0.2066, 0.2500, 0.0211)
O (0.2833, 0.5628, 0.6464)
O (0.2833, 0.9372, 0.6464)
O (0.3661, 0.7500, 0.4289)
O (0.4448, 0.2500, 0.8358)
O (0.5552, 0.7500, 0.1642)
O (0.6339, 0.2500, 0.5711)
O (0.7167, 0.0628, 0.3536)
O (0.7167, 0.4372, 0.3536)
O (0.7934, 0.7500, 0.9789)
O (0.9410, 0.7500, 0.1951)
O (0.9515, 0.7500, 0.5288)

Total moment, μB/cell: 0.030
Formation energy without anion corrections, meV/atom: -2370

---

[5]
Computed, not measured: an optimized crystal structure of Nb2Se3 at the GGA-PBEsol level of DFT.

Cell: 3.3952 3.3952 9.8532 Å, 90.00 90.00 120.00°
Fractional positions:
Nb (0.0000, 0.0000, 0.0000)
Nb (0.0000, 0.0000, 0.3553)
Se (0.3333, 0.6667, 0.1724)
Se (0.3333, 0.6667, 0.8283)
Se (0.6667, 0.3333, 0.5262)

Total moment, μB/cell: 0.000
Formation energy without anion corrections, meV/atom: -855

---

[6]
Computed, not measured: an optimized crystal structure of BaZrAs2 at the GGA-PBEsol level of DFT.

Cell: 7.7140 7.7140 7.7140 Å, 30.40 30.40 30.40°
Fractional positions:
Ba (0.0000, 0.0000, 0.0000)
Zr (0.5000, 0.5000, 0.5000)
As (0.2334, 0.2334, 0.2334)
As (0.7666, 0.7666, 0.7666)

Total moment, μB/cell: 0.000
Energy of formation from the pure elements, kJ per mole of atoms: -106
Relative energy among the computed polymorphs, meV/atom: 0

---

[7]
Computed, not measured: an optimized crystal structure of CaTe2OsN at the GGA-PBEsol level of DFT.

Cell: 5.5669 5.5669 4.0561 Å, 90.00 90.00 90.00°
Fractional positions:
Ca (0.0000, 0.0000, 0.0000)
Te (0.0000, 0.5000, 0.0000)
Te (0.5000, 0.0000, 0.0000)
Os (0.5000, 0.5000, 0.5000)
N (0.0000, 0.0000, 0.5000)

Total moment, μB/cell: 4.103
Formation energy without anion corrections, meV/atom: 1798

---

[8]
Computed, not measured: an optimized crystal structure of MnTlSi2 at the GGA-PBEsol level of DFT.

Cell: 3.0553 3.0553 7.0352 Å, 90.00 90.00 90.00°
Fractional positions:
Mn (0.0000, 0.0000, 0.0000)
Tl (0.5000, 0.5000, 0.6935)
Si (0.0000, 0.0000, 0.3318)
Si (0.5000, 0.5000, 0.1240)

Total moment, μB/cell: 0.012
Formation energy without anion corrections, meV/atom: 285
Relative energy among the computed polymorphs, meV/atom: 89